Computed, not measured: a crystal of Bi14PdBr16 relaxed with PBEsol at the SCAN level of DFT.

Results
The raw formation energy comes out at -0.468 eV/atom. The space group is No. 2.

POSCAR file:
```
Bi14PdBr16
1.0
10.8051 0.0000 0.0000
-0.5304 10.9666 0.0000
-3.4795 -5.5652 8.9620
Bi Pd Br
14 1 16
Cartesian
-1.4991 -0.1410 3.6499
-0.8224 2.2711 1.7733
-1.1579 0.8202 6.6289
-0.0127 4.7030 3.5567
0.8430 1.7788 4.3975
2.3032 8.2385 2.5417
3.9146 1.5460 0.2588
2.8806 3.8555 8.7033
4.4920 -2.8370 6.4203
5.9523 3.6227 4.5646
6.8079 0.6984 5.4054
7.9531 4.5813 2.3332
7.6176 3.1303 7.1888
8.2943 5.5425 5.3121
-2.0049 2.7007 4.4810
-1.5904 -2.9648 7.6989
1.0408 6.4532 0.8704
0.0402 8.1236 4.0892
1.8120 -0.4802 1.0326
0.8128 5.2375 7.0591
3.3824 3.0932 2.5155
4.4966 7.4907 0.5219
3.2291 6.1555 4.2636
3.5661 -0.7541 4.6984
2.2987 -2.0892 8.4402
3.4128 2.3082 6.4465
5.9824 0.1640 1.9029
4.9833 5.8816 7.9294
6.7550 -2.7222 4.8729
5.7544 -1.0518 8.0916
8.3856 8.3663 1.2631
```

---

Computed, not measured: a crystal of CdAg2Hg relaxed with PBEsol at the SCAN level of DFT.

Results
Its polymorph energy (0 for the lowest one) is 2 meV/atom. The calculated formation energy is -0.0091 eV/atom. The space group is No. 139.

POSCAR file:
```
CdAg2Hg
1.0
-2.0956 2.0956 4.1654
2.0956 -2.0956 4.1654
2.0956 2.0956 -4.1654
Cd Ag Hg
1 2 1
Cartesian
0.0000 0.0000 0.0000
2.0956 0.0000 2.0827
0.0000 2.0956 2.0827
0.0000 0.0000 4.1654
```

---

Computed, not measured: a crystal of Na4Sr2SiAs4 relaxed with PBEsol at the SCAN level of DFT.

Results
The raw formation energy comes out at -0.801 eV/atom. The space group is No. 9.

POSCAR file:
```
Na4Sr2SiAs4
1.0
4.7478 -8.2086 0.0000
4.7478 8.2086 0.0000
-0.1442 0.0000 7.3815
Na Sr Si As
8 4 2 8
Cartesian
1.8422 2.4142 3.4904
4.6757 7.0307 3.6908
3.8428 4.3396 5.8629
3.8380 1.2657 7.0814
1.7701 -2.4142 7.1811
3.9101 -1.2657 3.3906
3.9149 -4.3396 2.1721
4.7478 -7.0307 0.0000
4.6643 3.9322 2.1968
6.7210 0.4013 2.2180
4.5921 -3.9322 5.8875
6.6489 -0.4013 5.9088
6.5773 2.7387 5.0267
6.6494 -2.7387 1.3359
3.9495 6.6126 0.6724
1.9977 3.2133 0.6062
4.6437 1.5586 4.2275
1.9256 -3.2133 4.2970
6.7232 2.6686 0.0575
4.7158 -1.5586 0.5368
3.8774 -6.6126 4.3631
6.6511 -2.6686 3.7482
```

---

Computed, not measured: a crystal of CaOs3W relaxed with PBEsol at the SCAN level of DFT.

Results
The calculated formation energy is 3.5146 eV/atom. The space group is No. 221.

POSCAR file:
```
CaOs3W
1.0
4.4541 0.0000 0.0000
0.0000 4.4541 0.0000
0.0000 0.0000 4.4541
Ca Os W
1 3 1
Cartesian
0.0000 0.0000 0.0000
0.0000 0.0000 2.2270
0.0000 2.2270 0.0000
2.2270 0.0000 0.0000
2.2270 2.2270 2.2270
```

---

Computed, not measured: a crystal of CoTe2Rh relaxed with PBEsol at the SCAN level of DFT.

Results
The raw formation energy comes out at -0.122 eV/atom. The space group is No. 38.

POSCAR file:
```
CoTe2Rh
1.0
4.5860 0.0000 0.0000
0.0000 2.4667 3.4703
0.0000 -2.4667 3.4703
Co Te Rh
1 2 1
Cartesian
0.0000 0.0000 0.0000
0.0000 0.0000 4.3270
2.2930 0.0000 1.1987
2.2930 0.0000 5.5681
```

---

Computed, not measured: a crystal of V3HSe relaxed with PBEsol at the SCAN level of DFT.

Results
For the uncorrected energy, the calculation gives -15.284 eV/atom. The space group is No. 221.

POSCAR file:
```
V3HSe
1.0
3.7835 0.0000 0.0000
0.0000 3.7835 0.0000
0.0000 0.0000 3.7835
V H Se
3 1 1
Cartesian
0.0000 0.0000 1.8917
0.0000 1.8917 0.0000
1.8917 0.0000 0.0000
0.0000 0.0000 0.0000
1.8917 1.8917 1.8917
```